[1]
# Ba3TeP

A PBEsol-optimized structure of Ba3TeP (SCAN, the Alexandria database).

Values from the calculation:
Density in Mg/m³: 3.8
Uncorrected formation energy in eV per atom: -0.483
Total magnetization in μB per cell: 0.00

The structure in CIF format:
```
data_Ba3TeP
_space_group_name_H-M_alt 'P m -3 m'
_space_group_IT_number 221
_space_group_name_Hall '-P 4 2 3'
_cell_length_a 6.3131
_cell_length_b 6.3131
_cell_length_c 6.3131
_cell_angle_alpha 90.00
_cell_angle_beta 90.00
_cell_angle_gamma 90.00
loop_
_atom_site_label
_atom_site_fract_x
_atom_site_fract_y
_atom_site_fract_z
Ba1 0.0000 0.0000 0.5000
Te1 0.0000 0.0000 0.0000
P1 0.5000 0.5000 0.5000
```



[2]
# BaTe2P4

A PBEsol-optimized structure of BaTe2P4 (SCAN, the Alexandria database).

Values from the calculation:
Density in Mg/m³: 4.7
Uncorrected formation energy in eV per atom: -0.598
Total magnetization in μB per cell: 0.00

The structure in CIF format:
```
data_BaTe2P4
_space_group_name_H-M_alt 'P n m a'
_space_group_IT_number 62
_cell_length_a 16.3134
_cell_length_b 6.4390
_cell_length_c 7.0145
_cell_angle_alpha 90.00
_cell_angle_beta 90.00
_cell_angle_gamma 90.00
loop_
_space_group_symop_operation_xyz
'x,y,z'
'-x,-y,-z'
'-x+1/2,-y,z+1/2'
'x+1/2,y,-z+1/2'
'x+1/2,-y+1/2,-z+1/2'
'-x+1/2,y+1/2,z+1/2'
'-x,y+1/2,-z'
'x,-y+1/2,z'
loop_
_atom_site_label
_atom_site_fract_x
_atom_site_fract_y
_atom_site_fract_z
Ba1 0.1633 0.2500 0.1043
Te1 0.0621 0.7500 0.9444
Te2 0.2485 0.2500 0.6000
P1 0.0659 0.0085 0.4617
P2 0.0949 0.2500 0.6742
P3 0.1236 0.7500 0.6214
```



[3]
# BaTiP3

A PBEsol-optimized structure of BaTiP3 (SCAN, the Alexandria database).

Values from the calculation:
Electronic total energy in eV per atom: -18.04
Density in Mg/m³: 4.2
Total magnetization in μB per cell: 0.00

The structure in CIF format:
```
data_BaTiP3
_space_group_name_H-M_alt 'P m -3 m'
_space_group_IT_number 221
_space_group_name_Hall '-P 4 2 3'
_cell_length_a 4.7738
_cell_length_b 4.7738
_cell_length_c 4.7738
_cell_angle_alpha 90.00
_cell_angle_beta 90.00
_cell_angle_gamma 90.00
loop_
_atom_site_label
_atom_site_fract_x
_atom_site_fract_y
_atom_site_fract_z
Ba1 0.0000 0.0000 0.0000
Ti1 0.5000 0.5000 0.5000
P1 0.0000 0.5000 0.5000
```



[4]
# BaZr2TiP

A PBEsol-optimized structure of BaZr2TiP (SCAN, the Alexandria database).

Values from the calculation:
Electronic total energy in eV per atom: -23.48
Density in Mg/m³: 5.1
Total magnetization in μB per cell: 0.00

The structure in CIF format:
```
data_BaZr2TiP
_space_group_name_H-M_alt 'P 4/m m m'
_space_group_IT_number 123
_space_group_name_Hall '-P 4 2'
_cell_length_a 5.2477
_cell_length_b 5.2477
_cell_length_c 4.6841
_cell_angle_alpha 90.00
_cell_angle_beta 90.00
_cell_angle_gamma 90.00
loop_
_atom_site_label
_atom_site_fract_x
_atom_site_fract_y
_atom_site_fract_z
Ba1 0.0000 0.0000 0.0000
Zr1 0.0000 0.5000 0.0000
Ti1 0.0000 0.0000 0.5000
P1 0.5000 0.5000 0.5000
```



[5]
# BaTlP2

A PBEsol-optimized structure of BaTlP2 (SCAN, the Alexandria database).

Values from the calculation:
Electronic total energy in eV per atom: -33.53
Density in Mg/m³: 5.6
Total magnetization in μB per cell: 0.00

The structure in CIF format:
```
data_BaTlP2
_space_group_name_H-M_alt 'P m m m'
_space_group_IT_number 47
_cell_length_a 4.0044
_cell_length_b 4.5056
_cell_length_c 6.5850
_cell_angle_alpha 90.00
_cell_angle_beta 90.00
_cell_angle_gamma 90.00
loop_
_space_group_symop_operation_xyz
'x,y,z'
'-x,-y,-z'
'-x,-y,z'
'x,y,-z'
'x,-y,-z'
'-x,y,z'
'-x,y,-z'
'x,-y,z'
loop_
_atom_site_label
_atom_site_fract_x
_atom_site_fract_y
_atom_site_fract_z
Ba1 0.0000 0.0000 0.0000
Tl1 0.0000 0.0000 0.5000
P1 0.5000 0.5000 0.1641
```



[6]
# Ba2TlP2

A PBEsol-optimized structure of Ba2TlP2 (SCAN, the Alexandria database).

Values from the calculation:
Electronic total energy in eV per atom: -35.38
Density in Mg/m³: 6.2
Total magnetization in μB per cell: 0.00

The structure in CIF format:
```
data_Ba2TlP2
_space_group_name_H-M_alt 'P 4/m b m'
_space_group_IT_number 127
_space_group_name_Hall '-P 4 2ab'
_cell_length_a 7.9695
_cell_length_b 7.9695
_cell_length_c 4.5600
_cell_angle_alpha 90.00
_cell_angle_beta 90.00
_cell_angle_gamma 90.00
loop_
_atom_site_label
_atom_site_fract_x
_atom_site_fract_y
_atom_site_fract_z
Ba1 0.1839 0.3161 0.0000
Tl1 0.0000 0.0000 0.5000
P1 0.0982 0.5982 0.5000
```



[7]
# BaTl2P

A PBEsol-optimized structure of BaTl2P (SCAN, the Alexandria database).

Values from the calculation:
Electronic total energy in eV per atom: -48.85
Density in Mg/m³: 8.8
Total magnetization in μB per cell: 0.00

The structure in CIF format:
```
data_BaTl2P
_space_group_name_H-M_alt 'P 4/m m m'
_space_group_IT_number 123
_space_group_name_Hall '-P 4 2'
_cell_length_a 3.8517
_cell_length_b 3.8517
_cell_length_c 7.3382
_cell_angle_alpha 90.00
_cell_angle_beta 90.00
_cell_angle_gamma 90.00
loop_
_atom_site_label
_atom_site_fract_x
_atom_site_fract_y
_atom_site_fract_z
Ba1 0.0000 0.0000 0.0000
Tl1 0.5000 0.5000 0.3041
P1 0.0000 0.0000 0.5000
```



[8]
# Ba3PW

A PBEsol-optimized structure of Ba3PW (SCAN, the Alexandria database).

Values from the calculation:
Electronic total energy in eV per atom: -39.14
Density in Mg/m³: 4.6
Total magnetization in μB per cell: 6.73

The structure in CIF format:
```
data_Ba3PW
_space_group_name_H-M_alt 'P m -3 m'
_space_group_IT_number 221
_space_group_name_Hall '-P 4 2 3'
_cell_length_a 6.0878
_cell_length_b 6.0878
_cell_length_c 6.0878
_cell_angle_alpha 90.00
_cell_angle_beta 90.00
_cell_angle_gamma 90.00
loop_
_atom_site_label
_atom_site_fract_x
_atom_site_fract_y
_atom_site_fract_z
Ba1 0.0000 0.0000 0.5000
P1 0.0000 0.0000 0.0000
W1 0.5000 0.5000 0.5000
```